Compound: CdIn2PtBr
Source: Alexandria
Functional: PBE-GGA
Structure: relaxed

The total moment is 0.000 μB/f.u. The calculation puts the calculated volume at 29.12 A^3/atom. Its symmetry is P4/mmm, No. 123. The value obtained for the formation energy without anion corrections is -0.443 eV per atom.

a = 5.228 Å, b = 5.228 Å, c = 5.326 Å
α = 90.00°, β = 90.00°, γ = 90.00°
Fractional coordinates of all 5 atoms:
Cd: 0.000 0.000 0.000
In: 0.000 0.500 0.500
In: 0.500 0.000 0.500
Pt: 0.000 0.000 0.500
Br: 0.500 0.500 0.000

***

Compound: PuCdInBr6
Source: Alexandria
Functional: PBE-GGA
Structure: relaxed

The total moment is 5.000 μB/f.u. The calculation puts the calculated volume at 37.46 A^3/atom. Its symmetry is P-31c, No. 163. The value obtained for the formation energy without anion corrections is -1.096 eV per atom.

a = 7.404 Å, b = 7.404 Å, c = 14.201 Å
α = 90.00°, β = 90.00°, γ = 120.00°
Fractional coordinates of all 18 atoms:
Pu: 0.333 0.667 0.250
Pu: 0.667 0.333 0.750
Cd: 0.333 0.667 0.750
Cd: 0.667 0.333 0.250
In: 0.000 0.000 0.000
In: 0.000 0.000 0.500
Br: 0.007 0.369 0.636
Br: 0.007 0.638 0.864
Br: 0.362 0.369 0.864
Br: 0.362 0.993 0.636
Br: 0.369 0.007 0.136
Br: 0.369 0.362 0.364
Br: 0.631 0.638 0.636
Br: 0.631 0.993 0.864
Br: 0.638 0.007 0.364
Br: 0.638 0.631 0.136
Br: 0.993 0.362 0.136
Br: 0.993 0.631 0.364

***

Compound: Rb3Cd2InBr9
Source: Alexandria
Functional: PBE-GGA
Structure: relaxed

The total moment is 0.000 μB/f.u. The calculation puts the calculated volume at 35.49 A^3/atom. Its symmetry is P-3m1, No. 164. The value obtained for the formation energy without anion corrections is -1.175 eV per atom.

a = 7.944 Å, b = 7.944 Å, c = 9.742 Å
α = 90.00°, β = 90.00°, γ = 120.00°
Fractional coordinates of all 15 atoms:
Rb: 0.000 0.000 0.000
Rb: 0.333 0.667 0.674
Rb: 0.667 0.333 0.326
Cd: 0.333 0.667 0.164
Cd: 0.667 0.333 0.836
In: 0.000 0.000 0.500
Br: 0.000 0.500 0.000
Br: 0.168 0.336 0.334
Br: 0.168 0.832 0.334
Br: 0.336 0.168 0.666
Br: 0.500 0.000 0.000
Br: 0.500 0.500 0.000
Br: 0.664 0.832 0.334
Br: 0.832 0.168 0.666
Br: 0.832 0.664 0.666

***

Compound: RbCdInBr4
Source: Alexandria
Functional: PBE-GGA
Structure: relaxed

The total moment is 0.000 μB/f.u. The calculation puts the calculated volume at 38.60 A^3/atom. Its symmetry is P2_1/m, No. 11. The value obtained for the formation energy without anion corrections is -1.051 eV per atom.

a = 7.903 Å, b = 7.774 Å, c = 9.269 Å
α = 90.00°, β = 108.39°, γ = 90.00°
Fractional coordinates of all 14 atoms:
Rb: 0.215 0.250 0.056
Rb: 0.785 0.750 0.944
Cd: 0.242 0.750 0.791
Cd: 0.758 0.250 0.209
In: 0.249 0.250 0.561
In: 0.751 0.750 0.439
Br: 0.005 0.005 0.727
Br: 0.005 0.495 0.727
Br: 0.419 0.750 0.083
Br: 0.437 0.750 0.611
Br: 0.563 0.250 0.389
Br: 0.581 0.250 0.917
Br: 0.995 0.505 0.273
Br: 0.995 0.995 0.273

***

Compound: Rb2CdInBr6
Source: Alexandria
Functional: PBE-GGA
Structure: relaxed

The total moment is 0.000 μB/f.u. The calculation puts the calculated volume at 35.95 A^3/atom. Its symmetry is I4/mmm, No. 139. The value obtained for the formation energy without anion corrections is -1.166 eV per atom.

a = 7.986 Å, b = 7.986 Å, c = 7.986 Å
α = 120.11°, β = 120.11°, γ = 89.81°
Fractional coordinates of all 10 atoms:
Rb: 0.250 0.750 0.500
Rb: 0.750 0.250 0.500
Cd: 0.000 0.000 0.000
In: 0.500 0.500 0.000
Br: 0.249 0.249 0.000
Br: 0.249 0.249 0.497
Br: 0.249 0.751 0.000
Br: 0.751 0.249 0.000
Br: 0.751 0.751 0.000
Br: 0.751 0.751 0.503

***

Compound: RbCd2InBr6
Source: Alexandria
Functional: PBE-GGA
Structure: relaxed

The total moment is 0.000 μB/f.u. The calculation puts the calculated volume at 40.70 A^3/atom. Its symmetry is C2/c, No. 15. The value obtained for the formation energy without anion corrections is -0.996 eV per atom.

a = 10.266 Å, b = 10.266 Å, c = 8.014 Å
α = 100.32°, β = 100.32°, γ = 83.03°
Fractional coordinates of all 20 atoms:
Rb: 0.181 0.819 0.750
Rb: 0.819 0.181 0.250
Cd: 0.119 0.309 0.746
Cd: 0.309 0.119 0.246
Cd: 0.691 0.881 0.754
Cd: 0.881 0.691 0.254
In: 0.402 0.598 0.250
In: 0.598 0.402 0.750
Br: 0.098 0.169 0.998
Br: 0.119 0.596 0.368
Br: 0.169 0.098 0.498
Br: 0.291 0.483 0.844
Br: 0.404 0.881 0.132
Br: 0.483 0.291 0.344
Br: 0.517 0.709 0.656
Br: 0.596 0.119 0.868
Br: 0.709 0.517 0.156
Br: 0.831 0.902 0.502
Br: 0.881 0.404 0.632
Br: 0.902 0.831 0.002

***

Compound: CdIn2RhBr
Source: Alexandria
Functional: PBE-GGA
Structure: relaxed

The total moment is 0.000 μB/f.u. The calculation puts the calculated volume at 28.37 A^3/atom. Its symmetry is P4/mmm, No. 123. The value obtained for the formation energy without anion corrections is -0.289 eV per atom.

a = 5.197 Å, b = 5.197 Å, c = 5.252 Å
α = 90.00°, β = 90.00°, γ = 90.00°
Fractional coordinates of all 5 atoms:
Cd: 0.000 0.000 0.000
In: 0.000 0.500 0.500
In: 0.500 0.000 0.500
Rh: 0.000 0.000 0.500
Br: 0.500 0.500 0.000

***

Compound: CdInSeBr
Source: Alexandria
Functional: PBE-GGA
Structure: relaxed

The total moment is 0.000 μB/f.u. The calculation puts the calculated volume at 33.06 A^3/atom. Its symmetry is Cm, No. 8. The value obtained for the formation energy without anion corrections is -0.569 eV per atom.

a = 4.088 Å, b = 4.088 Å, c = 9.138 Å
α = 90.05°, β = 90.05°, γ = 60.00°
Fractional coordinates of all 4 atoms:
Cd: 0.000 0.000 0.000
In: 0.001 0.001 0.301
Se: 0.668 0.668 0.442
Br: 0.333 0.333 0.833

***

Compound: CdIn2SnBr6
Source: Alexandria
Functional: PBE-GGA
Structure: relaxed

The total moment is 0.000 μB/f.u. The calculation puts the calculated volume at 38.96 A^3/atom. Its symmetry is P4mm, No. 99. The value obtained for the formation energy without anion corrections is -0.704 eV per atom.

a = 7.857 Å, b = 7.857 Å, c = 6.310 Å
α = 90.00°, β = 90.00°, γ = 90.00°
Fractional coordinates of all 10 atoms:
Cd: 0.000 0.000 0.000
In: 0.000 0.500 0.424
In: 0.500 0.000 0.424
Sn: 0.500 0.500 0.031
Br: 0.000 0.000 0.592
Br: 0.240 0.240 0.135
Br: 0.240 0.760 0.135
Br: 0.500 0.500 0.601
Br: 0.760 0.240 0.135
Br: 0.760 0.760 0.135

***

Compound: SrCdInBr2
Source: Alexandria
Functional: PBE-GGA
Structure: relaxed

The total moment is 0.000 μB/f.u. The calculation puts the calculated volume at 47.05 A^3/atom. Its symmetry is P4/mmm, No. 123. The value obtained for the formation energy without anion corrections is -0.713 eV per atom.

a = 5.793 Å, b = 5.793 Å, c = 7.011 Å
α = 90.00°, β = 90.00°, γ = 90.00°
Fractional coordinates of all 5 atoms:
Sr: 0.000 0.000 0.000
Cd: 0.000 0.000 0.500
In: 0.500 0.500 0.500
Br: 0.000 0.500 0.000
Br: 0.500 0.000 0.000

***

Compound: SrCdInBr5
Source: Alexandria
Functional: PBE-GGA
Structure: relaxed

The total moment is 0.000 μB/f.u. The calculation puts the calculated volume at 39.83 A^3/atom. Its symmetry is C2/c, No. 15. The value obtained for the formation energy without anion corrections is -1.260 eV per atom.

a = 8.165 Å, b = 8.165 Å, c = 10.862 Å
α = 103.99°, β = 103.99°, γ = 106.04°
Fractional coordinates of all 16 atoms:
Sr: 0.000 0.000 0.000
Sr: 0.000 0.000 0.500
Cd: 0.321 0.679 0.750
Cd: 0.679 0.321 0.250
In: 0.340 0.660 0.250
In: 0.660 0.340 0.750
Br: 0.074 0.658 0.870
Br: 0.099 0.901 0.250
Br: 0.267 0.383 0.555
Br: 0.342 0.926 0.630
Br: 0.383 0.267 0.055
Br: 0.617 0.733 0.945
Br: 0.658 0.074 0.370
Br: 0.733 0.617 0.445
Br: 0.901 0.099 0.750
Br: 0.926 0.342 0.130

***

Compound: Ta2CdInBr
Source: Alexandria
Functional: PBE-GGA
Structure: relaxed

The total moment is 0.000 μB/f.u. The calculation puts the calculated volume at 27.06 A^3/atom. Its symmetry is P4/mmm, No. 123. The value obtained for the formation energy without anion corrections is 1.448 eV per atom.

a = 4.831 Å, b = 4.831 Å, c = 5.798 Å
α = 90.00°, β = 90.00°, γ = 90.00°
Fractional coordinates of all 5 atoms:
Ta: 0.000 0.500 0.000
Ta: 0.500 0.000 0.000
Cd: 0.000 0.000 0.500
In: 0.500 0.500 0.500
Br: 0.500 0.500 0.000

***

Compound: TbCdInBr6
Source: Alexandria
Functional: PBE-GGA
Structure: relaxed

The total moment is 0.000 μB/f.u. The calculation puts the calculated volume at 37.04 A^3/atom. Its symmetry is P-31c, No. 163. The value obtained for the formation energy without anion corrections is -1.265 eV per atom.

a = 7.294 Å, b = 7.294 Å, c = 14.469 Å
α = 90.00°, β = 90.00°, γ = 120.00°
Fractional coordinates of all 18 atoms:
Tb: 0.333 0.667 0.250
Tb: 0.667 0.333 0.750
Cd: 0.333 0.667 0.750
Cd: 0.667 0.333 0.250
In: 0.000 0.000 0.000
In: 0.000 0.000 0.500
Br: 0.001 0.369 0.638
Br: 0.001 0.632 0.862
Br: 0.368 0.369 0.862
Br: 0.368 0.999 0.638
Br: 0.369 0.001 0.138
Br: 0.369 0.368 0.362
Br: 0.631 0.632 0.638
Br: 0.631 0.999 0.862
Br: 0.632 0.001 0.362
Br: 0.632 0.631 0.138
Br: 0.999 0.368 0.138
Br: 0.999 0.631 0.362

***

Compound: CdInTeBr
Source: Alexandria
Functional: PBE-GGA
Structure: relaxed

The total moment is 0.000 μB/f.u. The calculation puts the calculated volume at 37.43 A^3/atom. Its symmetry is P3m1, No. 156. The value obtained for the formation energy without anion corrections is -0.474 eV per atom.

a = 4.298 Å, b = 4.298 Å, c = 9.358 Å
α = 90.00°, β = 90.00°, γ = 120.00°
Fractional coordinates of all 4 atoms:
Cd: 0.000 0.000 0.000
In: 0.000 0.000 0.706
Te: 0.333 0.667 0.552
Br: 0.667 0.333 0.150

***

Compound: Tl2CdInBr6
Source: Alexandria
Functional: PBE-GGA
Structure: relaxed

The total moment is 0.000 μB/f.u. The calculation puts the calculated volume at 34.95 A^3/atom. Its symmetry is R3, No. 146. The value obtained for the formation energy without anion corrections is -0.787 eV per atom.

a = 7.968 Å, b = 7.968 Å, c = 7.968 Å
α = 59.00°, β = 59.00°, γ = 59.00°
Fractional coordinates of all 10 atoms:
Tl: 0.000 0.000 0.000
Tl: 0.500 0.500 0.500
Cd: 0.718 0.718 0.718
In: 0.218 0.218 0.218
Br: 0.034 0.456 0.892
Br: 0.398 0.954 0.536
Br: 0.456 0.892 0.034
Br: 0.536 0.398 0.954
Br: 0.892 0.034 0.456
Br: 0.954 0.536 0.398

***

Compound: TlCd2InBr8
Source: Alexandria
Functional: PBE-GGA
Structure: relaxed

The total moment is 0.000 μB/f.u. The calculation puts the calculated volume at 36.10 A^3/atom. Its symmetry is C2/m, No. 12. The value obtained for the formation energy without anion corrections is -0.799 eV per atom.

a = 6.894 Å, b = 6.894 Å, c = 9.731 Å
α = 92.91°, β = 92.91°, γ = 69.81°
Fractional coordinates of all 12 atoms:
Tl: 0.000 0.000 0.000
Cd: 0.361 0.361 0.717
Cd: 0.639 0.639 0.283
In: 0.000 0.000 0.500
Br: 0.218 0.739 0.296
Br: 0.238 0.238 0.478
Br: 0.261 0.782 0.704
Br: 0.296 0.296 0.962
Br: 0.704 0.704 0.038
Br: 0.739 0.218 0.296
Br: 0.762 0.762 0.522
Br: 0.782 0.261 0.704

***

Compound: TlCdInBr4
Source: Alexandria
Functional: PBE-GGA
Structure: relaxed

The total moment is 0.000 μB/f.u. The calculation puts the calculated volume at 37.24 A^3/atom. Its symmetry is P2_1/m, No. 11. The value obtained for the formation energy without anion corrections is -0.788 eV per atom.

a = 7.783 Å, b = 7.786 Å, c = 9.041 Å
α = 90.00°, β = 107.87°, γ = 90.00°
Fractional coordinates of all 14 atoms:
Tl: 0.219 0.250 0.059
Tl: 0.781 0.750 0.941
Cd: 0.244 0.750 0.802
Cd: 0.756 0.250 0.198
In: 0.242 0.250 0.560
In: 0.758 0.750 0.440
Br: 0.006 0.006 0.738
Br: 0.006 0.494 0.738
Br: 0.440 0.750 0.095
Br: 0.440 0.750 0.613
Br: 0.560 0.250 0.387
Br: 0.560 0.250 0.905
Br: 0.994 0.506 0.262
Br: 0.994 0.994 0.262

***

Compound: TlCdInBr6
Source: Alexandria
Functional: PBE-GGA
Structure: relaxed

The total moment is 0.000 μB/f.u. The calculation puts the calculated volume at 36.12 A^3/atom. Its symmetry is P312, No. 149. The value obtained for the formation energy without anion corrections is -0.842 eV per atom.

a = 7.172 Å, b = 7.172 Å, c = 7.297 Å
α = 90.00°, β = 90.00°, γ = 120.00°
Fractional coordinates of all 9 atoms:
Tl: 0.000 0.000 0.000
Cd: 0.667 0.333 0.500
In: 0.333 0.667 0.500
Br: 0.009 0.374 0.283
Br: 0.009 0.635 0.717
Br: 0.365 0.374 0.717
Br: 0.365 0.991 0.283
Br: 0.626 0.635 0.283
Br: 0.626 0.991 0.717

***

Compound: YCdInBr6
Source: Alexandria
Functional: PBE-GGA
Structure: relaxed

The total moment is 0.000 μB/f.u. The calculation puts the calculated volume at 36.88 A^3/atom. Its symmetry is P-31c, No. 163. The value obtained for the formation energy without anion corrections is -1.265 eV per atom.

a = 7.286 Å, b = 7.286 Å, c = 14.439 Å
α = 90.00°, β = 90.00°, γ = 120.00°
Fractional coordinates of all 18 atoms:
Y: 0.333 0.667 0.250
Y: 0.667 0.333 0.750
Cd: 0.333 0.667 0.750
Cd: 0.667 0.333 0.250
In: 0.000 0.000 0.000
In: 0.000 0.000 0.500
Br: 0.000 0.369 0.137
Br: 0.000 0.369 0.637
Br: 0.000 0.631 0.363
Br: 0.000 0.631 0.863
Br: 0.369 0.000 0.137
Br: 0.369 0.000 0.637
Br: 0.369 0.369 0.363
Br: 0.369 0.369 0.863
Br: 0.631 0.000 0.363
Br: 0.631 0.000 0.863
Br: 0.631 0.631 0.137
Br: 0.631 0.631 0.637

***

Compound: CdIr2Br
Source: Alexandria
Functional: PBE-GGA
Structure: relaxed

The total moment is 2.124 μB/f.u. The calculation puts the calculated volume at 18.13 A^3/atom. The polymorph energy (0 for the lowest one) comes out at 2.69 eV per formula unit. Its symmetry is F-43m, No. 216. The value obtained for the formation energy without anion corrections is 0.987 eV per atom.

a = 4.681 Å, b = 4.681 Å, c = 4.681 Å
α = 60.00°, β = 60.00°, γ = 60.00°
Fractional coordinates of all 4 atoms:
Cd: 0.000 0.000 0.000
Ir: 0.500 0.500 0.500
Ir: 0.750 0.750 0.750
Br: 0.250 0.250 0.250

***

Compound: CdIrBr
Source: Alexandria
Functional: PBE-GGA
Structure: relaxed

The total moment is 0.748 μB/f.u. The calculation puts the calculated volume at 20.27 A^3/atom. The polymorph energy (0 for the lowest one) comes out at 0.00 eV per formula unit. Its symmetry is P3m1, No. 156. The value obtained for the formation energy without anion corrections is 0.546 eV per atom.

a = 3.326 Å, b = 3.326 Å, c = 6.346 Å
α = 90.00°, β = 90.00°, γ = 120.00°
Fractional coordinates of all 3 atoms:
Cd: 0.000 0.000 0.000
Ir: 0.333 0.667 0.314
Br: 0.667 0.333 0.620

***

Compound: CdIr2Br
Source: Alexandria
Functional: PBE-GGA
Structure: relaxed

The total moment is 0.000 μB/f.u. The calculation puts the calculated volume at 17.43 A^3/atom. The polymorph energy (0 for the lowest one) comes out at 2.57 eV per formula unit. Its symmetry is P4/mmm, No. 123. The value obtained for the formation energy without anion corrections is 0.957 eV per atom.

a = 4.230 Å, b = 4.230 Å, c = 3.896 Å
α = 90.00°, β = 90.00°, γ = 90.00°
Fractional coordinates of all 4 atoms:
Cd: 0.000 0.000 0.000
Ir: 0.000 0.500 0.500
Ir: 0.500 0.000 0.500
Br: 0.500 0.500 0.000